A relaxed structure of Pm3Dy2ScSe6. Source: Alexandria, functional PBE.

## Properties
SG: C2/m, No. 12
DOS at the Fermi energy in states/eV/cell: 5.62
Formation energy without anion corrections in eV/atom: -1.7602

Lattice parameters (Å, degrees): 9.207 9.207 8.288 104.08 104.08 25.56
Atoms (fractional coordinates):
Pm (0.000, 0.000, 0.000)
Pm (0.331, 0.331, 0.664)
Pm (0.669, 0.669, 0.336)
Dy (0.334, 0.334, 0.168)
Dy (0.666, 0.666, 0.832)
Sc (0.000, 0.000, 0.500)
Se (0.159, 0.159, 0.587)
Se (0.169, 0.169, 0.077)
Se (0.499, 0.499, 0.267)
Se (0.501, 0.501, 0.733)
Se (0.831, 0.831, 0.923)
Se (0.841, 0.841, 0.413)